Record 1
DFT (PBE) results for crystalline Pr3NdSm6Er2 at its relaxed geometry.

Values from the calculation:
ρ: 7.35 g/cm3
DOS at the Fermi energy: 34.520 states/eV/cell
volume: 33.974 Å³ per atom
DFT formation energy: 0.0175 eV per atom
final energy: -4.695 eV per atom

Lattice parameters (Å, degrees): 6.297 10.905 12.059 90.00 100.03 90.00
Space group C2/m (No. 12)
Symmetry-distinct sites (fractional):
Pr 0.000 0.000 0.000 (multiplicity 2)
Pr 0.000 0.333 0.000 (multiplicity 4)
Nd 0.000 0.500 0.500 (multiplicity 2)
Sm 0.248 0.000 0.746 (multiplicity 4)
Sm 0.250 0.167 0.254 (multiplicity 8)
Er 0.000 0.167 0.500 (multiplicity 4)

Record 2
DFT (PBE) results for crystalline Li2Ti3TlO8 at its relaxed geometry.

Values from the calculation:
ρ: 4.70 g/cm3
DOS at the Fermi energy: 9.264 states/eV/cell
E_form (uncorrected): -2.422 eV/atom
volume: 12.356 Å³ per atom
final energy: -7.390 eV per atom

Lattice parameters (Å, degrees): 6.0814 6.0814 16.2028 90.00 90.00 120.00
Space group R3m (No. 160, hexagonal axes)
Symmetry-distinct sites (fractional):
Li 0.0000 0.0000 0.0000 (multiplicity 3)
Li 0.0000 0.0000 0.4113 (multiplicity 3)
Ti 0.0088 0.5044 0.9054 (multiplicity 9)
Tl 0.0000 0.0000 0.7760 (multiplicity 3)
O 0.0000 0.0000 0.1718 (multiplicity 3)
O 0.0000 0.0000 0.6339 (multiplicity 3)
O 0.0465 0.5232 0.1718 (multiplicity 9)
O 0.1809 0.3618 0.9679 (multiplicity 9)

Record 3
DFT (PBE) results for crystalline Tb6PrHo at its relaxed geometry.

Values from the calculation:
ρ: 7.36 g/cm3
DOS at the Fermi energy: 22.366 states/eV/cell
volume: 35.509 Å³ per atom
DFT formation energy: 0.3679 eV per atom
E above lowest polymorph: 0.346 eV per atom
final energy: -4.274 eV per atom

Lattice parameters (Å, degrees): 10.052 6.858 8.487 90.00 103.81 90.00
Space group C2/m (No. 12)
Symmetry-distinct sites (fractional):
Tb 0.127 0.000 0.423 (multiplicity 4)
Tb 0.196 0.237 0.803 (multiplicity 8)
Pr 0.000 0.500 0.500 (multiplicity 2)
Ho 0.000 0.500 0.000 (multiplicity 2)

Record 4
DFT (PBE) results for crystalline BaBi at its relaxed geometry.

Values from the calculation:
ρ: 4.31 g/cm3
DOS at the Fermi energy: 8.700 states/eV/cell
volume: 66.662 Å³ per atom
DFT formation energy: -0.3516 eV per atom
final energy: -3.253 eV per atom

Lattice parameters (Å, degrees): 14.526 14.526 5.055 90.00 90.00 90.00
Space group I4/m (No. 87)
Symmetry-distinct sites (fractional):
Ba 0.053 0.690 0.000 (multiplicity 8)
Bi 0.187 0.258 0.000 (multiplicity 8)

Record 5
DFT (PBE) results for crystalline TmUCo at its relaxed geometry.

Values from the calculation:
ρ: 12.71 g/cm3
DOS at the Fermi energy: 20.521 states/eV/cell
volume: 20.287 Å³ per atom
DFT formation energy: -0.1240 eV per atom
final energy: -7.746 eV per atom

Lattice parameters (Å, degrees): 7.956 3.573 8.565 90.00 90.00 90.00
Space group Pnma (No. 62)
Symmetry-distinct sites (fractional):
Tm 0.027 0.250 0.165 (multiplicity 4)
U 0.116 0.250 0.533 (multiplicity 4)
Co 0.249 0.750 0.367 (multiplicity 4)

Record 6
DFT (PBE) results for crystalline Cr2C at its relaxed geometry.

Values from the calculation:
ρ: 6.50 g/cm3
DOS at the Fermi energy: 2.705 states/eV/cell
volume: 9.874 Å³ per atom
DFT formation energy: -0.0567 eV per atom
final energy: -9.547 eV per atom

Lattice parameters (Å, degrees): 2.8370 2.8370 4.2499 90.00 90.00 120.00
Space group P-3m1 (No. 164)
Symmetry-distinct sites (fractional):
Cr 0.3333 0.6667 0.2476 (multiplicity 2)
C 0.0000 0.0000 0.5000 (multiplicity 1)